Entry 1:
First-principles (GGA-PBE) data for an optimized crystal structure of Nb4BiAsN2, as listed in OQMD via LeMat-Bulk.

Values from the calculation:
DFT total energy (eV per atom): -8.745
V (Å³/cell): 124.74
Symmetry: P-6m2 (187)

a b c (Å): 3.3730 3.3730 12.6607
angles (deg): 90.00 90.00 120.00
With the nearest neighbours (Å) after each atom.
Fractional coordinates of all 8 atoms:
As  0.0000  0.0000  0.5000  6 Nb 2.68
N  0.6667  0.3333  0.2629  6 Nb 2.17-2.27
Nb  0.3333  0.6667  0.3548  3 N 2.27
Nb  0.3333  0.6667  0.6452  3 N 2.27
N  0.6667  0.3333  0.7371  6 Nb 2.17-2.27
Nb  0.0000  0.0000  0.8133  3 N 2.17
Bi  0.3333  0.6667  0.0000  6 Nb 3.06, 6 Bi 3.37
Nb  0.0000  0.0000  0.1867  3 N 2.17

---

Entry 2:
First-principles (GGA-PBE) data for an optimized crystal structure of Ho2Sc2CIBr2Cl2, as listed in OQMD via LeMat-Bulk.

Values from the calculation:
Energy above the lowest structure with this stoichiometry (meV per atom): 0
DFT total energy (eV per atom): -5.416
V (Å³/cell): 268.33
Symmetry: C2/m (12)

a b c (Å): 8.9533 8.9533 8.4389
angles (deg): 101.77 101.77 23.93
With the nearest neighbours (Å) after each atom.
Fractional coordinates of all 10 atoms:
Ho  0.0010  0.0010  0.8087  2 C 2.46, 1 Cl 2.72
Cl  0.1574  0.1574  0.2839  2 Sc 2.60, 1 Ho 2.72
Sc  0.6304  0.6304  0.0643  1 C 2.24
Sc  0.3696  0.3696  0.9357  1 C 2.24
Br  0.8302  0.8302  0.1472  2 Sc 2.76, 1 Ho 2.90
I  0.5000  0.5000  0.5000  4 Ho 3.20
Cl  0.8426  0.8426  0.7161  2 Sc 2.60, 1 Ho 2.72
Br  0.1698  0.1698  0.8528  2 Sc 2.76, 1 Ho 2.90
Ho  0.9990  0.9990  0.1913  2 C 2.46, 1 Cl 2.72
C  0.5000  0.5000  0.0000  2 Sc 2.24, 4 Ho 2.46

---

Entry 3:
First-principles (GGA-PBE) data for an optimized crystal structure of Co4W9, as listed in OQMD via LeMat-Bulk.

Values from the calculation:
Energy above the lowest structure with this stoichiometry (meV per atom): 275
DFT total energy (eV per atom): -10.446
V (Å³/cell): 206.09
E_form (meV/atom): 713
Symmetry: R-3m (166)

a b c (Å): 9.3913 9.3913 9.3913
angles (deg): 31.95 31.95 31.95
With the nearest neighbours (Å) after each atom.
Fractional coordinates of all 13 atoms:
W  0.9106  0.9106  0.4167  7 W 2.55-2.80, 3 Co 2.74-2.85
Co  0.6546  0.6546  0.6546  13 W 2.85-3.15, 3 Co 3.05
Co  0.8323  0.8323  0.8323  6 W 2.74-2.80, 3 Co 2.99
W  0.0894  0.5833  0.0894  7 W 2.55-2.80, 3 Co 2.74-2.85
W  0.4531  0.4531  0.4531  7 W 2.51-2.80
W  0.9106  0.4167  0.9106  7 W 2.55-2.80, 3 Co 2.74-2.85
W  0.0000  0.0000  0.0000  6 W 2.60
Co  0.1677  0.1677  0.1677  6 W 2.74-2.80, 3 Co 2.99
Co  0.3454  0.3454  0.3454  13 W 2.85-3.15, 3 Co 3.05
W  0.5469  0.5469  0.5469  7 W 2.51-2.80
W  0.0894  0.0894  0.5833  7 W 2.55-2.80, 3 Co 2.74-2.85
W  0.5833  0.0894  0.0894  7 W 2.55-2.80, 3 Co 2.74-2.85
W  0.4167  0.9106  0.9106  7 W 2.55-2.80, 3 Co 2.74-2.85

---

Entry 4:
First-principles (GGA-PBE) data for an optimized crystal structure of ScCoTcAs, as listed in OQMD via LeMat-Bulk.

Values from the calculation:
Energy above the lowest structure with this stoichiometry (meV per atom): 0
DFT total energy (eV per atom): -7.395
V (Å³/cell): 56.60
Symmetry: F-43m (216)

a b c (Å): 4.3096 4.3096 4.3096
angles (deg): 60.00 60.00 60.00
With the nearest neighbours (Å) after each atom.
Fractional coordinates of all 4 atoms:
Co  0.7500  0.7500  0.7500  4 Sc 2.64, 4 As 2.64
As  0.0000  0.0000  0.0000  4 Co 2.64, 4 Tc 2.64
Sc  0.5000  0.5000  0.5000  4 Co 2.64, 4 Tc 2.64
Tc  0.2500  0.2500  0.2500  4 As 2.64, 4 Sc 2.64

---

Entry 5:
First-principles (GGA-PBE) data for an optimized crystal structure of Re2Hg, as listed in OQMD via LeMat-Bulk.

Values from the calculation:
Energy above the lowest structure with this stoichiometry (meV per atom): 3537
DFT total energy (eV per atom): -3.948
V (Å³/cell): 467.03
E_form (meV/atom): 4433
Symmetry: Fd-3m (227)

a b c (Å): 8.7087 8.7087 8.7087
angles (deg): 60.00 60.00 60.00
With the nearest neighbours (Å) after each atom.
Fractional coordinates of all 6 atoms:
Hg  0.5000  0.5000  0.5000  4 Re 2.67
Hg  0.2500  0.2500  0.2500  4 Re 2.67
Re  0.3750  0.8750  0.3750  2 Hg 2.67
Re  0.8750  0.3750  0.3750  2 Hg 2.67
Re  0.3750  0.3750  0.3750  2 Hg 2.67
Re  0.3750  0.3750  0.8750  2 Hg 2.67

---

Entry 6:
First-principles (GGA-PBE) data for an optimized crystal structure of Cu2Ag, as listed in OQMD via LeMat-Bulk.

Values from the calculation:
Energy above the lowest structure with this stoichiometry (meV per atom): 47
DFT total energy (eV per atom): -3.327
V (Å³/cell): 125.61
E_form (meV/atom): 92
Symmetry: Cm (8)

a b c (Å): 7.0557 7.0557 8.0911
angles (deg): 124.53 124.53 22.46
With the nearest neighbours (Å) after each atom.
Fractional coordinates of all 9 atoms:
Cu  0.3244  0.3244  0.3285  7 Cu 2.53-2.75, 5 Ag 2.77-2.82
Cu  0.6731  0.6731  0.3342  10 Cu 2.53-2.75, 2 Ag 2.71
Cu  0.3258  0.3258  0.6566  9 Cu 2.56-2.82, 3 Ag 2.68-2.71
Cu  0.6665  0.6665  0.0154  7 Cu 2.53-2.75, 4 Ag 2.72-2.74
Cu  0.6712  0.6712  0.6616  5 Cu 2.56-2.75, 6 Ag 2.64-2.78
Ag  0.3269  0.3269  0.9886  8 Cu 2.64-2.78, 4 Ag 2.75-2.81
Ag  0.0004  0.0004  0.6733  9 Cu 2.63-2.78, 3 Ag 2.75-2.76
Ag  0.0054  0.0054  0.3371  7 Cu 2.66-2.82, 5 Ag 2.75-2.81
Cu  0.0063  0.0063  0.0046  8 Cu 2.57-2.82, 4 Ag 2.63-2.78

---

Entry 7:
First-principles (GGA-PBE) data for an optimized crystal structure of GdDyCu2P4, as listed in OQMD via LeMat-Bulk.

Values from the calculation:
DFT total energy (eV per atom): -5.666
V (Å³/cell): 135.69
Symmetry: P4mm (99)

a b c (Å): 3.7303 3.7303 9.7511
angles (deg): 90.00 90.00 90.00
With the nearest neighbours (Å) after each atom.
Fractional coordinates of all 8 atoms:
Gd  0.5000  0.5000  0.2320  8 P 2.87-2.94
P  0.5000  0.0000  0.9985  4 P 2.64, 2 Dy 2.92, 2 Gd 2.94
Cu  0.0000  0.5000  0.5006  4 P 2.39-2.40, 4 Cu 2.64
Dy  0.0000  0.0000  0.7678  8 P 2.86-2.92
Cu  0.5000  0.0000  0.5006  4 P 2.39-2.40, 4 Cu 2.64
P  0.5000  0.5000  0.6549  4 Cu 2.40
P  0.0000  0.0000  0.3470  4 Cu 2.39
P  0.0000  0.5000  0.9985  4 P 2.64, 2 Dy 2.92, 2 Gd 2.94

---

Entry 8:
First-principles (GGA-PBE) data for an optimized crystal structure of Li2CdGeSe4, as listed in OQMD via LeMat-Bulk.

Values from the calculation:
DFT total energy (eV per atom): -3.679
V (Å³/cell): 812.28
Symmetry: Pna2_1 (33)

a b c (Å): 14.3333 8.3656 6.7743
angles (deg): 90.00 90.00 90.00
With the nearest neighbours (Å) after each atom.
Fractional coordinates of all 32 atoms:
Ge  0.4120  0.7470  0.5826  4 Se 2.39
Se  0.4115  0.7587  0.2302  1 Ge 2.39, 2 Li 2.52-2.54, 1 Cd 2.66
Se  0.1619  0.4837  0.2047  1 Ge 2.39, 2 Li 2.55-2.64
Se  0.9115  0.7413  0.2302  1 Ge 2.39, 2 Li 2.52-2.54, 1 Cd 2.66
Se  0.8336  0.9917  0.6843  1 Ge 2.39, 2 Li 2.56-2.62
Cd  0.8397  0.0075  0.0794  4 Se 2.66-2.69
Se  0.3381  0.9837  0.7047  1 Ge 2.39, 2 Li 2.55-2.64
Ge  0.0880  0.2470  0.0826  4 Se 2.39
Se  0.1664  0.0083  0.1843  1 Ge 2.39, 2 Li 2.56-2.62
Se  0.9330  0.2610  0.2112  1 Ge 2.39, 2 Li 2.54-2.58, 1 Cd 2.66
Se  0.4330  0.2390  0.2112  1 Ge 2.39, 2 Li 2.54-2.58, 1 Cd 2.66
Se  0.3336  0.5083  0.6843  1 Ge 2.39, 2 Li 2.56-2.62
Li  0.1617  0.5045  0.5807  4 Se 2.52-2.56
Li  0.8383  0.4955  0.0807  4 Se 2.52-2.56
Se  0.0885  0.2586  0.7302  1 Ge 2.39, 2 Li 2.52-2.54, 1 Cd 2.66
Cd  0.3397  0.4925  0.0794  4 Se 2.66-2.69
Cd  0.1603  0.9925  0.5794  4 Se 2.66-2.69
Se  0.5885  0.2414  0.7302  1 Ge 2.39, 2 Li 2.52-2.54, 1 Cd 2.66
Li  0.3383  0.0045  0.0807  4 Se 2.52-2.56
Li  0.9241  0.2532  0.5914  4 Se 2.54-2.64
Se  0.5670  0.7610  0.7112  1 Ge 2.39, 2 Li 2.54-2.58, 1 Cd 2.66
Li  0.4241  0.2468  0.5914  4 Se 2.54-2.64
Li  0.6617  0.9955  0.5807  4 Se 2.52-2.56
Se  0.6619  0.0163  0.2047  1 Ge 2.39, 2 Li 2.55-2.64
Li  0.0759  0.7468  0.0914  4 Se 2.54-2.64
Se  0.6664  0.4917  0.1843  1 Ge 2.39, 2 Li 2.56-2.62
Se  0.8381  0.5163  0.7047  1 Ge 2.39, 2 Li 2.55-2.64
Ge  0.5880  0.2530  0.0826  4 Se 2.39
Cd  0.6603  0.5075  0.5794  4 Se 2.66-2.69
Li  0.5759  0.7532  0.0914  4 Se 2.54-2.64
Se  0.0670  0.7390  0.7112  1 Ge 2.39, 2 Li 2.54-2.58, 1 Cd 2.66
Ge  0.9120  0.7530  0.5826  4 Se 2.39